# SrPtIN2

SrPtIN2 after structural relaxation (GGA-PBE, Alexandria).

a = 4.312 Å, b = 4.312 Å, c = 5.501 Å
α = 90.00°, β = 90.00°, γ = 90.00°
Positions (direct):
Sr (0.000, 0.000, 0.000)
Pt (0.500, 0.500, 0.500)
I (0.500, 0.500, 0.000)
N (0.000, 0.500, 0.500)
N (0.500, 0.000, 0.500)

ΔE to the lowest computed polymorph (eV per atom): 0.000
Symmetry: P4/mmm (123)
Total energy (Ry per atom): -0.32830